The following is a DFT calculation (PBE+U) of a geometry-optimized NdV3O9 structure.

Lattice parameters (Å, degrees): 9.0688 12.1009 7.7850 90.00 90.00 90.00
Closest atoms and distances in Å follow each position.
Space group C222_1 (No. 20)
Asymmetric unit:
Nd  0.1069  0.0000  0.0000 (multiplicity 4)  8 O 2.42-2.62
V  0.0257  0.3203  0.4684 (multiplicity 8)  4 O 1.68-1.81
V  0.2480  0.5000  0.0000 (multiplicity 4)  4 O 1.71-1.79
O  0.0000  0.3593  0.2500 (multiplicity 4)  2 V 1.78
O  0.0093  0.1827  0.4893 (multiplicity 8)  1 V 1.68
O  0.1313  0.3887  0.9344 (multiplicity 8)  2 V 1.79-1.81
O  0.1394  0.0184  0.6741 (multiplicity 8)  1 V 1.71
O  0.1896  0.3724  0.5330 (multiplicity 8)  1 V 1.69

Properties
Final energy: -7.701 eV/atom
Fermi-level density of states: 0.00 states/eV/atom